Record 1
MgW | PBE-GGA | relaxed

Properties
DOS(E_F)   1.2 states/eV/f.u.
ρ   10.097 Mg/m³
Calculated formation energy   454 meV per atom
Space-group type   Cmmm, No. 65
E above lowest polymorph   193 meV per atom
Calculated total energy   -81.84 eV/cell

Lattice parameters (Å, degrees): 4.7913 9.5238 4.5011 90.00 90.00 90.00
Last column: nearest neighbours and their distance in Å.
Atoms (fractional coordinates):
Mg  0.0000  0.8304  0.5000  4 Mg 2.77-2.84, 4 W 2.80-2.89
Mg  0.0000  0.1696  0.5000  4 Mg 2.77-2.84, 4 W 2.80-2.89
Mg  0.5000  0.3304  0.5000  4 Mg 2.77-2.84, 4 W 2.80-2.89
Mg  0.5000  0.6696  0.5000  4 Mg 2.77-2.84, 4 W 2.80-2.89
Mg  0.0000  0.0000  0.0000  4 Mg 2.77, 4 W 2.82
Mg  0.5000  0.5000  0.0000  4 Mg 2.77, 4 W 2.82
W  0.0000  0.3439  0.0000  5 W 2.70-2.99, 4 Mg 2.80-2.82
W  0.0000  0.6561  0.0000  5 W 2.70-2.99, 4 Mg 2.80-2.82
W  0.5000  0.8439  0.0000  5 W 2.70-2.99, 4 Mg 2.80-2.82
W  0.5000  0.1561  0.0000  5 W 2.70-2.99, 4 Mg 2.80-2.82
W  0.5000  0.0000  0.5000  4 W 2.70, 4 Mg 2.89
W  0.0000  0.5000  0.5000  4 W 2.70, 4 Mg 2.89

Record 2
MgW3 | PBE-GGA | relaxed

Properties
DOS(E_F)   4.0 states/eV/f.u.
ρ   14.611 Mg/m³
Calculated formation energy   479 meV per atom
Space-group type   Fm-3m, No. 225
E above lowest polymorph   249 meV per atom
Calculated total energy   -38.54 eV/cell

Lattice parameters (Å, degrees): 4.5234 4.5234 4.5234 60.00 60.00 60.00
Last column: nearest neighbours and their distance in Å.
Atoms (fractional coordinates):
Mg  0.2500  0.2500  0.2500  8 W 2.77
W  0.0000  0.0000  0.0000  4 W 2.77, 4 Mg 2.77
W  0.5000  0.5000  0.5000  4 Mg 2.77, 4 W 2.77
W  0.7500  0.7500  0.7500  8 W 2.77